! NaPm5Hg8, relaxed, DFT PBE-GGA; values from VASP
&SYSTEM
  ibrav = 0, nat = 14, ntyp = 3
/
ATOMIC_SPECIES
Hg 200.59 Hg.upf
Pm 145.00 Pm.upf
Na 22.99 Na.upf
CELL_PARAMETERS angstrom
7.525 0.000 -2.644
-3.728 6.528 -2.666
-0.070 0.000 7.976
ATOMIC_POSITIONS crystal
Hg 0.613 0.421 0.864
Hg 0.809 0.251 0.387
Hg 0.442 0.579 0.191
Hg 0.118 0.750 0.028
Pm 0.740 0.619 0.605
Pm 0.500 0.000 0.500
Pm 0.395 0.135 0.014
Hg 0.631 0.909 0.882
Hg 0.278 0.250 0.369
Hg 0.136 0.749 0.558
Hg 0.972 0.091 0.722
Pm 0.879 0.865 0.260
Na 0.250 0.500 0.750
Pm 0.986 0.381 0.121
! Magnetic moment, μB/f.u.: 0.00
! Energy of formation from the pure elements, eV per atom: -0.384
! Theoretical density, g cm⁻³: 10.00

---

! Ac2HgIO8, relaxed, DFT PBE-GGA; values from VASP
&SYSTEM
  ibrav = 0, nat = 12, ntyp = 4
/
ATOMIC_SPECIES
Ac 227.00 Ac.upf
O 16.00 O.upf
I 126.90 I.upf
Hg 200.59 Hg.upf
CELL_PARAMETERS angstrom
4.976 -0.228 0.125
-0.233 4.980 0.128
0.230 0.229 8.180
ATOMIC_POSITIONS crystal
Ac 0.451 0.451 0.753
O 0.728 0.730 0.952
O 0.758 0.107 0.167
O 0.893 0.244 0.834
O 0.700 0.700 0.515
Ac 0.549 0.549 0.247
I 0.000 0.000 0.000
O 0.107 0.756 0.166
O 0.300 0.300 0.485
O 0.242 0.893 0.833
O 0.272 0.270 0.048
Hg 0.000 0.000 0.500
! Formation energy (no corrections), meV per atom: -1602
! Magnetic moment, μB/f.u.: 0.85
! Theoretical density, g cm⁻³: 7.48

---

! CdCu, relaxed, DFT PBE-GGA; values from VASP
&SYSTEM
  ibrav = 0, nat = 4, ntyp = 2
/
ATOMIC_SPECIES
Cu 63.55 Cu.upf
Cd 112.41 Cd.upf
CELL_PARAMETERS angstrom
-1.796 -3.496 2.390
2.874 -0.838 -3.492
4.020 0.169 3.267
ATOMIC_POSITIONS crystal
Cu 0.333 0.667 0.250
Cd 0.667 0.333 0.250
Cd 0.333 0.667 0.750
Cu 0.667 0.333 0.750
! Magnetic moment, μB/f.u.: 0.00
! Energy of formation from the pure elements, eV per atom: 0.473
! Theoretical density, g cm⁻³: 6.15

---

! LiThMg2, relaxed, DFT PBE-GGA; values from VASP
&SYSTEM
  ibrav = 0, nat = 4, ntyp = 3
/
ATOMIC_SPECIES
Th 232.04 Th.upf
Mg 24.30 Mg.upf
Li 6.94 Li.upf
CELL_PARAMETERS angstrom
5.237 0.000 0.000
2.618 4.535 0.000
2.618 1.512 4.276
ATOMIC_POSITIONS crystal
Th 0.000 0.000 0.000
Mg 0.750 0.750 0.750
Mg 0.250 0.250 0.250
Li 0.500 0.500 0.500
! Magnetic moment, μB/f.u.: 0.00
! Energy of formation from the pure elements, eV per atom: 0.176
! Theoretical density, g cm⁻³: 4.70

---

! Sc2SbAs, relaxed, DFT PBE-GGA; values from VASP
&SYSTEM
  ibrav = 0, nat = 8, ntyp = 3
/
ATOMIC_SPECIES
Sc 44.96 Sc.upf
Sb 121.76 Sb.upf
As 74.92 As.upf
CELL_PARAMETERS angstrom
-4.523 4.383 -1.170
-2.372 -0.877 5.885
0.322 6.226 4.544
ATOMIC_POSITIONS crystal
Sc 0.154 0.625 0.250
Sc 0.375 0.404 0.750
Sb 0.750 0.250 0.500
As 0.250 0.750 0.500
Sc 0.596 0.125 0.250
As 0.500 0.500 0.000
Sc 0.875 0.846 0.750
Sb 0.000 0.000 0.000
! Formation energy (no corrections), meV per atom: -662
! Magnetic moment, μB/f.u.: 0.00
! Theoretical density, g cm⁻³: 3.71

---

! TeOs2Pt, relaxed, DFT PBE-GGA; values from VASP
&SYSTEM
  ibrav = 0, nat = 4, ntyp = 3
/
ATOMIC_SPECIES
Te 127.60 Te.upf
Os 190.23 Os.upf
Pt 195.08 Pt.upf
CELL_PARAMETERS angstrom
3.767 0.000 0.000
0.000 4.146 0.000
0.000 0.000 4.146
ATOMIC_POSITIONS crystal
Te 0.500 0.000 0.500
Os 0.000 0.000 0.000
Pt 0.500 0.500 0.000
Os 0.000 0.500 0.500
! Formation energy (no corrections), meV per atom: 659
! Magnetic moment, μB/f.u.: 0.00
! Theoretical density, g cm⁻³: 18.03

---

! CsK2MgTl, relaxed, DFT PBE-GGA; values from VASP
&SYSTEM
  ibrav = 0, nat = 5, ntyp = 4
/
ATOMIC_SPECIES
Mg 24.30 Mg.upf
K 39.10 K.upf
Tl 204.38 Tl.upf
Cs 132.91 Cs.upf
CELL_PARAMETERS angstrom
-4.077 5.203 -2.156
1.467 -1.589 -6.608
-4.525 -3.603 -0.138
ATOMIC_POSITIONS crystal
Mg 0.000 0.000 0.500
K 0.000 0.500 0.000
K 0.500 0.000 0.000
Tl 0.000 0.000 0.000
Cs 0.500 0.500 0.500
! Magnetic moment, μB/f.u.: 0.00
! Energy of formation from the pure elements, eV per atom: 0.062
! Theoretical density, g cm⁻³: 2.61

---

! Ac2PrGa6, relaxed, DFT PBE-GGA; values from VASP
&SYSTEM
  ibrav = 0, nat = 9, ntyp = 3
/
ATOMIC_SPECIES
Ga 69.72 Ga.upf
Ac 227.00 Ac.upf
Pr 140.91 Pr.upf
CELL_PARAMETERS angstrom
4.607 0.000 0.000
0.000 6.539 -3.775
0.000 0.000 7.551
ATOMIC_POSITIONS crystal
Ga 0.500 0.330 0.330
Ac 0.000 0.667 0.333
Ga 0.500 0.670 0.670
Ga 0.500 0.330 0.000
Ac 0.000 0.333 0.667
Ga 0.500 0.670 0.000
Ga 0.500 0.000 0.330
Ga 0.500 0.000 0.670
Pr 0.000 0.000 0.000
! Magnetic moment, μB/f.u.: 0.00
! Energy of formation from the pure elements, eV per atom: -0.646
! Theoretical density, g cm⁻³: 7.40